1.
Tb5HoTm4 (PBE, relaxed); energy relative to the lowest polymorph listed for this composition = 274 meV/atom; calculated volume = 31.85 Å³ per atom; symmetry = I4 (79); DFT total energy = -4.250 eV/atom
1.0
-3.5011 2.2485 -4.6779
2.6599 -1.8687 -7.0785
-5.6890 -4.8216 -2.2492
Tb Tm Ho
5 4 1
direct
0.7183 0.0881 0.3782
0.8064 0.3782 0.9119
0.0965 0.6218 0.0881
0.1846 0.9119 0.6218
0.6803 0.0000 0.0000
0.7968 0.7023 0.6052
0.1043 0.2977 0.3948
0.4991 0.6052 0.2977
0.4020 0.3948 0.7023
0.2218 0.0000 0.0000

2.
PuZr2S (PBE, relaxed); energy relative to the lowest polymorph listed for this composition = 207 meV/atom; calculated volume = 23.51 Å³ per atom; energy relative to the elements, uncorrected = -0.37 eV per atom; symmetry = R-3m (166); DFT total energy = -9.262 eV/atom
1.0
3.4645 0.0000 0.0000
1.7322 3.0003 0.0000
1.7322 1.0001 9.0479
Zr Pu S
2 1 1
direct
0.1088 0.1088 0.6735
0.8912 0.8912 0.3265
0.0000 0.0000 0.0000
0.5000 0.5000 0.5000

3.
La5Hg3 (PBE, relaxed); energy relative to the lowest polymorph listed for this composition = 61 meV/atom; calculated volume = 30.48 Å³ per atom; symmetry = P-62m (189); DFT total energy = -3.501 eV/atom
1.0
-0.5842 -1.0513 3.3155
-8.7577 -0.4891 -1.6982
5.2155 -7.1288 -1.3416
La Hg
5 3
direct
0.0000 0.6667 0.3333
0.0000 0.2469 0.0000
0.0000 0.3333 0.6667
0.0000 0.7531 0.7531
0.0000 0.0000 0.2469
0.5000 0.6235 0.0000
0.5000 0.0000 0.6235
0.5000 0.3765 0.3765